{
  "formula": "LaAs",
  "functional": "PBE",
  "state": "relaxed",
  "formation_enthalpy_0k_mev_per_atom": -1219.6,
  "lattice": [[3.7405, 0.0000, 0.0000], [0.0000, 3.7405, 0.0000], [0.0000, 0.0000, 3.7408]],
  "species": ["As", "La"],
  "frac_coords": [[0.5000, 0.5000, 0.5000], [0.0000, 0.0000, 0.0000]]
}